This record from Alexandria via LeMat-Bulk describes a relaxed Ca2Ge2Pd3 crystal. The functional is GGA-PBE. Values from VASP.

```
&SYSTEM
  ibrav = 0, nat = 7, ntyp = 3
/
ATOMIC_SPECIES
Ca 40.08 Ca.upf
Ge 72.64 Ge.upf
Pd 106.42 Pd.upf
CELL_PARAMETERS angstrom
5.3665 -1.9864 0.0000
5.3665 1.9864 0.0000
-2.8481 0.0000 6.5357
ATOMIC_POSITIONS crystal
Ca 0.1270 0.1270 0.2654
Ca 0.8730 0.8730 0.7346
Ge 0.1528 0.1528 0.7231
Ge 0.8472 0.8472 0.2769
Pd 0.3634 0.3634 0.0685
Pd 0.5000 0.5000 0.5000
Pd 0.6366 0.6366 0.9315
```

---

This record from Alexandria via LeMat-Bulk describes a relaxed Ca3Ge7Pd2 crystal. The functional is GGA-PBE. Values from VASP.

```
&SYSTEM
  ibrav = 0, nat = 12, ntyp = 3
/
ATOMIC_SPECIES
Ca 40.08 Ca.upf
Ge 72.64 Ge.upf
Pd 106.42 Pd.upf
CELL_PARAMETERS angstrom
4.2986 0.0000 0.0000
0.0000 4.3679 0.0000
-2.1236 0.0000 13.2692
ATOMIC_POSITIONS crystal
Ca 0.0000 0.0000 0.0000
Ca 0.3185 0.5000 0.6371
Ca 0.6815 0.5000 0.3629
Ge 0.0819 0.5000 0.1638
Ge 0.2247 0.0000 0.4494
Ge 0.4190 0.0000 0.8369
Ge 0.5000 0.5000 0.0000
Ge 0.5810 0.0000 0.1631
Ge 0.7753 0.0000 0.5506
Ge 0.9181 0.5000 0.8362
Pd 0.1306 0.0000 0.2632
Pd 0.8694 0.0000 0.7368
```

---

This record from Alexandria via LeMat-Bulk describes a relaxed Ca12GePd6 crystal. The functional is GGA-PBE. Values from VASP.

```
&SYSTEM
  ibrav = 0, nat = 19, ntyp = 3
/
ATOMIC_SPECIES
Ca 40.08 Ca.upf
Ge 72.64 Ge.upf
Pd 106.42 Pd.upf
CELL_PARAMETERS angstrom
-5.1002 5.1002 5.1002
5.1002 -5.1002 5.1002
5.1002 5.1002 -5.1002
ATOMIC_POSITIONS crystal
Ca 0.1189 0.8200 0.2989
Ca 0.1800 0.2989 0.4789
Ca 0.1800 0.7011 0.8811
Ca 0.2989 0.1189 0.8200
Ca 0.2989 0.4789 0.1800
Ca 0.4789 0.1800 0.2989
Ca 0.5211 0.8200 0.7011
Ca 0.7011 0.5211 0.8200
Ca 0.7011 0.8811 0.1800
Ca 0.8200 0.2989 0.1189
Ca 0.8200 0.7011 0.5211
Ca 0.8811 0.1800 0.7011
Ge 0.0000 0.0000 0.0000
Pd 0.1318 0.6318 0.5000
Pd 0.3682 0.5000 0.8682
Pd 0.5000 0.1318 0.6318
Pd 0.5000 0.8682 0.3682
Pd 0.6318 0.5000 0.1318
Pd 0.8682 0.3682 0.5000
```

---

This record from Alexandria via LeMat-Bulk describes a relaxed Ca4Ge3Pd crystal. The functional is GGA-PBE. Values from VASP.

```
&SYSTEM
  ibrav = 0, nat = 8, ntyp = 3
/
ATOMIC_SPECIES
Ca 40.08 Ca.upf
Ge 72.64 Ge.upf
Pd 106.42 Pd.upf
CELL_PARAMETERS angstrom
4.0834 0.0000 0.0000
0.0000 4.5493 0.0000
0.0000 0.0000 10.8514
ATOMIC_POSITIONS crystal
Ca 0.0000 0.0000 0.0000
Ca 0.0000 0.5000 0.4951
Ca 0.5000 0.0000 0.7162
Ca 0.5000 0.5000 0.2192
Ge 0.0000 0.5000 0.7801
Ge 0.5000 0.0000 0.4260
Ge 0.5000 0.5000 0.9307
Pd 0.0000 0.0000 0.2905
```

---

This record from Alexandria via LeMat-Bulk describes a relaxed CaGe2Pd4 crystal. The functional is GGA-PBE. Values from VASP.

Properties
- ΔE to the lowest computed polymorph: 0.000 eV/f.u.

```
&SYSTEM
  ibrav = 0, nat = 14, ntyp = 3
/
ATOMIC_SPECIES
Ca 40.08 Ca.upf
Ge 72.64 Ge.upf
Pd 106.42 Pd.upf
CELL_PARAMETERS angstrom
7.9834 0.0000 0.0000
0.0000 7.9834 0.0000
0.0000 0.0000 3.8698
ATOMIC_POSITIONS crystal
Ca 0.0000 0.0000 0.0000
Ca 0.5000 0.5000 0.5000
Ge 0.2265 0.2265 0.5000
Ge 0.2735 0.7265 0.0000
Ge 0.7265 0.2735 0.0000
Ge 0.7735 0.7735 0.5000
Pd 0.0758 0.6728 0.5000
Pd 0.1728 0.4242 0.0000
Pd 0.3272 0.9242 0.5000
Pd 0.4242 0.1728 0.0000
Pd 0.5758 0.8272 0.0000
Pd 0.6728 0.0758 0.5000
Pd 0.8272 0.5758 0.0000
Pd 0.9242 0.3272 0.5000
```

---

This record from Alexandria via LeMat-Bulk describes a relaxed CaGe3Pd10 crystal. The functional is GGA-PBE. Values from VASP.

```
&SYSTEM
  ibrav = 0, nat = 28, ntyp = 3
/
ATOMIC_SPECIES
Ca 40.08 Ca.upf
Ge 72.64 Ge.upf
Pd 106.42 Pd.upf
CELL_PARAMETERS angstrom
0.0000 6.2372 6.2372
6.2372 0.0000 6.2372
6.2372 6.2372 0.0000
ATOMIC_POSITIONS crystal
Ca 0.2500 0.2500 0.2500
Ca 0.7500 0.7500 0.7500
Ge 0.2329 0.2329 0.7671
Ge 0.2329 0.7671 0.2329
Ge 0.2329 0.7671 0.7671
Ge 0.7671 0.2329 0.2329
Ge 0.7671 0.2329 0.7671
Ge 0.7671 0.7671 0.2329
Pd 0.1171 0.1171 0.1171
Pd 0.1171 0.1171 0.6488
Pd 0.1171 0.6488 0.1171
Pd 0.1542 0.5000 0.5000
Pd 0.1542 0.5000 0.8458
Pd 0.1542 0.8458 0.5000
Pd 0.3512 0.8829 0.8829
Pd 0.5000 0.1542 0.5000
Pd 0.5000 0.1542 0.8458
Pd 0.5000 0.5000 0.1542
Pd 0.5000 0.5000 0.8458
Pd 0.5000 0.8458 0.1542
Pd 0.5000 0.8458 0.5000
Pd 0.6488 0.1171 0.1171
Pd 0.8458 0.1542 0.5000
Pd 0.8458 0.5000 0.1542
Pd 0.8458 0.5000 0.5000
Pd 0.8829 0.3512 0.8829
Pd 0.8829 0.8829 0.3512
Pd 0.8829 0.8829 0.8829
```

---

Computed values of energy of formation from the pure elements (unit: meV per atom) for the preceding records, in sequence: -731.1; -500.7; -495.1; -651.0; -663.7; -479.7.
Computed values of calculated volume (unit: Å³/cell) for the preceding records, in sequence: 139.3; 249.1; 530.7; 201.6; 246.6; 485.3.